# 1
## NaPa6Se8 (PBE-GGA)

Data for a relaxed NaPa6Se8 crystal.

abc: 8.1092 8.1092 8.1092
angles: 60.00 60.00 60.00
Last column: nearest neighbours and their distance in Å.
Element x y z (fractional)
Na1 0.0000 0.0000 0.0000  6 Se 2.94
Pa1 0.0000 0.0000 0.5000  6 Se 2.87
Pa2 0.0000 0.5000 0.0000  6 Se 2.87
Pa3 0.0000 0.5000 0.5000  6 Se 2.87
Pa4 0.5000 0.0000 0.0000  6 Se 2.87
Pa5 0.5000 0.0000 0.5000  6 Se 2.87
Pa6 0.5000 0.5000 0.0000  6 Se 2.87
Se1 0.2500 0.2500 0.2500  6 Pa 2.87
Se2 0.2568 0.2568 0.7432  4 Pa 2.87, 1 Na 2.94
Se3 0.2568 0.7432 0.2568  4 Pa 2.87, 1 Na 2.94
Se4 0.2568 0.7432 0.7432  4 Pa 2.87, 1 Na 2.94
Se5 0.7432 0.2568 0.2568  4 Pa 2.87, 1 Na 2.94
Se6 0.7432 0.2568 0.7432  4 Pa 2.87, 1 Na 2.94
Se7 0.7432 0.7432 0.2568  4 Pa 2.87, 1 Na 2.94
Se8 0.7500 0.7500 0.7500  6 Pa 2.87

Distance to the lowest polymorph of the same formula ... 0.000 eV per atom
DOS(E_F) ... 26.3 states/eV/f.u.
Crystal system ... cubic
VASP energy ... -6.999 eV/atom
ρ ... 9.0 g cm⁻³
Formation energy (no corrections) ... -28.93 kcal/mol of atoms

---

# 2
## TcPdPt14 (PBE-GGA)

Data for a relaxed TcPdPt14 crystal.

abc: 5.6273 5.6273 7.8408
angles: 90.00 90.00 90.00
Last column: nearest neighbours and their distance in Å.
Element x y z (fractional)
Tc1 0.0000 0.0000 0.0000  12 Pt 2.75-2.81
Pd1 0.5000 0.5000 0.0000  12 Pt 2.78-2.81
Pt1 0.0000 0.0000 0.5000  12 Pt 2.80-2.81
Pt2 0.0000 0.5000 0.0000  8 Pt 2.77, 2 Pd 2.81, 2 Tc 2.81
Pt3 0.0000 0.5000 0.5000  12 Pt 2.81-2.82
Pt4 0.2472 0.2472 0.2455  1 Tc 2.75, 10 Pt 2.77-2.85, 1 Pd 2.78
Pt5 0.2472 0.2472 0.7545  1 Tc 2.75, 10 Pt 2.77-2.85, 1 Pd 2.78
Pt6 0.2472 0.7528 0.2455  1 Tc 2.75, 10 Pt 2.77-2.85, 1 Pd 2.78
Pt7 0.2472 0.7528 0.7545  1 Tc 2.75, 10 Pt 2.77-2.85, 1 Pd 2.78
Pt8 0.5000 0.0000 0.0000  8 Pt 2.77, 2 Pd 2.81, 2 Tc 2.81
Pt9 0.5000 0.0000 0.5000  12 Pt 2.81-2.82
Pt10 0.5000 0.5000 0.5000  12 Pt 2.81-2.83
Pt11 0.7528 0.2472 0.2455  1 Tc 2.75, 10 Pt 2.77-2.85, 1 Pd 2.78
Pt12 0.7528 0.2472 0.7545  1 Tc 2.75, 10 Pt 2.77-2.85, 1 Pd 2.78
Pt13 0.7528 0.7528 0.2455  1 Tc 2.75, 10 Pt 2.77-2.85, 1 Pd 2.78
Pt14 0.7528 0.7528 0.7545  1 Tc 2.75, 10 Pt 2.77-2.85, 1 Pd 2.78

Formation enthalpy at 0 K ... -0.051 eV per atom
DOS(E_F) ... 26.2 states/eV/f.u.
Crystal system ... tetragonal
VASP energy ... -6.309 eV/atom
ρ ... 19.6 g cm⁻³

---

# 3
## Ce3Tl4GeSe8 (PBE-GGA)

Data for a relaxed Ce3Tl4GeSe8 crystal.

abc: 9.1135 9.1135 9.1135
angles: 56.19 56.19 56.19
Last column: nearest neighbours and their distance in Å.
Element x y z (fractional)
Ce1 0.0000 0.5000 0.5000  6 Se 2.93-2.95
Ce2 0.5000 0.0000 0.5000  6 Se 2.93-2.95
Ce3 0.5000 0.5000 0.0000  6 Se 2.93-2.95
Tl1 0.0000 0.0000 0.5000  6 Se 3.32-3.35
Tl2 0.0000 0.5000 0.0000  6 Se 3.32-3.35
Tl3 0.5000 0.0000 0.0000  6 Se 3.32-3.35
Tl4 0.5000 0.5000 0.5000  6 Se 3.38
Ge1 0.0000 0.0000 0.0000  6 Se 2.90
Se1 0.2327 0.2327 0.7375  1 Ge 2.90, 2 Ce 2.93
Se2 0.2327 0.7375 0.2327  1 Ge 2.90, 2 Ce 2.93
Se3 0.2625 0.7673 0.7673  1 Ge 2.90, 2 Ce 2.93
Se4 0.2632 0.2632 0.2632  3 Ce 2.95
Se5 0.7368 0.7368 0.7368  3 Ce 2.95
Se6 0.7375 0.2327 0.2327  1 Ge 2.90, 2 Ce 2.93
Se7 0.7673 0.2625 0.7673  1 Ge 2.90, 2 Ce 2.93
Se8 0.7673 0.7673 0.2625  1 Ge 2.90, 2 Ce 2.93

DOS(E_F) ... 14.0 states/eV/f.u.
Crystal system ... trigonal
VASP energy ... -4.832 eV/atom
ρ ... 6.6 g cm⁻³
Formation energy (no corrections) ... -25.30 kcal/mol of atoms

---

# 4
## AcZn12Pt4 (PBE-GGA)

Data for a relaxed AcZn12Pt4 crystal.

abc: 7.6318 7.6318 7.6318
angles: 109.47 109.47 109.47
Last column: nearest neighbours and their distance in Å.
Element x y z (fractional)
Ac1 0.0000 0.0000 0.0000  12 Zn 3.43, 8 Pt 3.82
Zn1 0.1594 0.3548 0.5142  2 Pt 2.52, 2 Zn 2.56-2.81
Zn2 0.1594 0.6452 0.8047  2 Pt 2.52, 2 Zn 2.56-2.81
Zn3 0.1953 0.8406 0.3548  2 Pt 2.52, 2 Zn 2.56-2.81
Zn4 0.3548 0.1953 0.8406  2 Pt 2.52, 2 Zn 2.56-2.81
Zn5 0.3548 0.5142 0.1594  2 Pt 2.52, 2 Zn 2.56-2.81
Zn6 0.4858 0.8406 0.6452  2 Pt 2.52, 2 Zn 2.56-2.81
Zn7 0.5142 0.1594 0.3548  2 Pt 2.52, 2 Zn 2.56-2.81
Zn8 0.6452 0.4858 0.8406  2 Pt 2.52, 2 Zn 2.56-2.81
Zn9 0.6452 0.8047 0.1594  2 Pt 2.52, 2 Zn 2.56-2.81
Zn10 0.8047 0.1594 0.6452  2 Pt 2.52, 2 Zn 2.56-2.81
Zn11 0.8406 0.3548 0.1953  2 Pt 2.52, 2 Zn 2.56-2.81
Zn12 0.8406 0.6452 0.4858  2 Pt 2.52, 2 Zn 2.56-2.81
Pt1 0.0000 0.0000 0.5000  6 Zn 2.52
Pt2 0.0000 0.5000 0.0000  6 Zn 2.52
Pt3 0.5000 0.0000 0.0000  6 Zn 2.52
Pt4 0.5000 0.5000 0.5000  6 Zn 2.52

Formation enthalpy at 0 K ... -0.153 eV per atom
DOS(E_F) ... 5.5 states/eV/f.u.
Crystal system ... cubic
VASP energy ... -2.716 eV/atom
ρ ... 8.7 g cm⁻³

---

no.,total moment (μB/cell)
1,2.73
2,0.00
3,2.01
4,0.00